1.
DFT (GGA-PBE) results for CeU2Tl3Se6 after structural relaxation.

Values from the calculation:
The calculation puts the total energy at -68.82 eV per cell. For the uncorrected formation energy, the calculation gives -1.025 eV/atom. As for the total moment: 7.0 μB/cell. As for the crystal system: monoclinic.

Lattice parameters (Å, degrees): 7.321 7.321 8.223 98.53 98.53 119.99
Atoms (fractional coordinates):
Ce 0.000 0.000 0.000
U 0.333 0.667 0.000
U 0.667 0.333 0.000
Tl 0.166 0.834 0.500
Tl 0.500 0.500 0.500
Tl 0.834 0.166 0.500
Se 0.069 0.411 0.207
Se 0.273 0.273 0.795
Se 0.411 0.069 0.207
Se 0.589 0.931 0.793
Se 0.727 0.727 0.205
Se 0.931 0.589 0.793



2.
DFT (GGA-PBE) results for CeU3Tl4Se8 after structural relaxation.

Values from the calculation:
The calculation puts the total energy at -92.95 eV per cell. For the uncorrected formation energy, the calculation gives -0.988 eV/atom. As for the total moment: 10.0 μB/cell. As for the crystal system: trigonal.

Lattice parameters (Å, degrees): 9.251 9.251 9.251 54.17 54.17 54.17
Atoms (fractional coordinates):
Ce 0.000 0.000 0.000
U 0.000 0.500 0.500
U 0.500 0.000 0.500
U 0.500 0.500 0.000
Tl 0.000 0.000 0.500
Tl 0.000 0.500 0.000
Tl 0.500 0.000 0.000
Tl 0.500 0.500 0.500
Se 0.239 0.239 0.730
Se 0.239 0.730 0.239
Se 0.265 0.265 0.265
Se 0.270 0.761 0.761
Se 0.730 0.239 0.239
Se 0.735 0.735 0.735
Se 0.761 0.270 0.761
Se 0.761 0.761 0.270



3.
DFT (GGA-PBE) results for CeUTl2Se4 after structural relaxation.

Values from the calculation:
The calculation puts the total energy at -44.67 eV per cell. For the uncorrected formation energy, the calculation gives -1.097 eV/atom. As for the total moment: 4.0 μB/cell. As for the crystal system: monoclinic.

Lattice parameters (Å, degrees): 7.380 4.254 8.194 90.00 107.41 90.00
Atoms (fractional coordinates):
Ce 0.000 0.000 0.000
U 0.500 0.500 0.000
Tl 0.000 0.500 0.500
Tl 0.500 0.000 0.500
Se 0.242 0.500 0.208
Se 0.271 0.000 0.795
Se 0.729 0.000 0.205
Se 0.758 0.500 0.792



Q: Which value of uncorrected formation energy does entry 2 give?
A: -0.988 eV/atom



Q: Number 3 is which compound?
A: CeUTl2Se4